DFT (PBE) results for an optimized crystal structure of Mg2BiPb.

Structure (POSCAR):
```
Mg2BiPb
1.0
5.557 0.000 0.000
0.000 5.581 0.000
0.000 0.000 6.903
Pb Mg Bi
2 4 2
direct
0.000 0.288 0.000
0.500 0.712 0.500
0.500 0.210 0.250
0.000 0.790 0.250
0.500 0.210 0.750
0.000 0.790 0.750
0.000 0.283 0.500
0.500 0.717 0.000
```

Output
Energy of formation ... -0.056 eV/atom
Total energy ... -2.751 eV/atom

---

DFT (PBE) results for an optimized crystal structure of Mg2Bi2Pb.

Structure (POSCAR):
```
Mg2Bi2Pb
1.0
4.533 0.000 0.000
0.000 4.533 0.000
2.267 2.267 7.453
Mg Bi Pb
2 2 1
direct
0.250 0.750 0.500
0.750 0.250 0.500
0.384 0.384 0.232
0.616 0.616 0.768
0.000 0.000 0.000
```

Output
Energy of formation ... -0.042 eV/atom
Total energy ... -2.974 eV/atom

---

DFT (PBE) results for an optimized crystal structure of Mg8Bi2Pb.

Structure (POSCAR):
```
Mg8Bi2Pb
1.0
4.677 0.000 -1.312
-0.859 8.822 -3.060
-0.237 -2.637 8.145
Bi Mg Pb
2 8 1
direct
0.148 0.705 0.297
0.852 0.295 0.703
0.037 0.280 0.073
0.182 0.167 0.363
0.695 0.399 0.389
0.818 0.833 0.637
0.646 0.898 0.292
0.354 0.102 0.708
0.305 0.601 0.611
0.963 0.720 0.927
0.500 0.000 0.000
```

Output
Energy of formation ... -0.038 eV/atom
Total energy ... -2.240 eV/atom

---

DFT (PBE) results for an optimized crystal structure of Mg6BiPb.

Structure (POSCAR):
```
Mg6BiPb
1.0
4.567 0.000 0.000
0.000 4.567 0.000
0.000 0.000 9.264
Pb Mg Bi
1 6 1
direct
0.000 0.000 0.000
0.500 0.500 0.000
0.500 0.000 0.755
0.500 0.000 0.245
0.000 0.500 0.755
0.500 0.500 0.500
0.000 0.500 0.245
0.000 0.000 0.500
```

Output
Energy of formation ... -0.074 eV/atom
Total energy ... -2.219 eV/atom

---

DFT (PBE) results for an optimized crystal structure of Mg2BiPb.

Structure (POSCAR):
```
Mg2BiPb
1.0
-2.362 -6.242 4.820
6.272 1.563 5.098
-0.014 -0.225 6.733
Bi Mg Pb
2 4 2
direct
0.750 0.250 0.500
0.000 0.000 0.000
0.375 0.365 0.750
0.875 0.885 0.750
0.115 0.625 0.250
0.635 0.125 0.250
0.500 0.500 0.000
0.250 0.750 0.500
```

Output
Energy of formation ... 0.049 eV/atom
Total energy ... -2.645 eV/atom

---

DFT (PBE) results for an optimized crystal structure of MgBi2Pb6.

Structure (POSCAR):
```
MgBi2Pb6
1.0
-2.310 -0.810 -2.479
1.439 -2.519 1.930
-19.555 2.231 17.487
Pb Mg Bi
6 1 2
direct
0.333 0.667 0.210
0.333 0.667 0.790
0.333 0.667 0.436
0.667 0.333 0.903
0.333 0.667 0.564
0.667 0.333 0.097
0.333 0.667 0.000
0.667 0.333 0.323
0.667 0.333 0.677
```

Output
Energy of formation ... 0.019 eV/atom
Total energy ... -3.493 eV/atom

---

DFT (PBE) results for an optimized crystal structure of Mg3BiPb.

Structure (POSCAR):
```
Mg3BiPb
1.0
5.393 0.000 0.000
0.000 5.393 0.000
0.000 0.000 5.393
Bi Mg Pb
1 3 1
direct
0.500 0.500 0.500
0.000 0.500 0.000
0.500 0.000 0.000
0.000 0.000 0.500
0.000 0.000 0.000
```

Output
Energy of formation ... 0.290 eV/atom
Total energy ... -2.185 eV/atom

---

DFT (PBE) results for an optimized crystal structure of Mg2BiPb.

Structure (POSCAR):
```
Mg2BiPb
1.0
-2.224 -4.424 1.951
-5.286 -0.308 0.534
-2.815 -3.194 -3.193
Pb Mg Bi
1 2 1
direct
0.000 0.000 0.000
0.250 0.250 0.250
0.750 0.750 0.750
0.500 0.500 0.500
```

Output
Energy of formation ... -0.051 eV/atom
Total energy ... -2.746 eV/atom

---

DFT (PBE) results for an optimized crystal structure of MgBiPb.

Structure (POSCAR):
```
MgBiPb
1.0
3.502 0.000 0.000
0.000 3.502 0.000
-1.751 -1.751 7.016
Mg Pb Bi
1 1 1
direct
0.285 0.285 0.569
0.634 0.634 0.269
0.931 0.931 0.862
```

Output
Energy of formation ... -0.032 eV/atom
Total energy ... -3.093 eV/atom

---

DFT (PBE) results for an optimized crystal structure of MgBiPb2.

Structure (POSCAR):
```
MgBiPb2
1.0
-1.868 -3.025 -3.930
3.816 -2.783 0.328
-2.251 -2.714 3.160
Pb Mg Bi
2 1 1
direct
0.000 0.000 0.500
0.000 0.500 0.000
0.500 0.000 0.000
0.500 0.500 0.500
```

Output
Energy of formation ... 0.004 eV/atom
Total energy ... -3.219 eV/atom

---

DFT (PBE) results for an optimized crystal structure of Mg3BiPb.

Structure (POSCAR):
```
Mg3BiPb
1.0
4.556 0.006 -0.002
-2.267 8.044 0.978
-0.008 -2.146 8.319
Mg Pb Bi
6 2 2
direct
0.937 0.877 0.817
0.805 0.613 0.423
0.195 0.387 0.577
0.305 0.613 0.920
0.695 0.387 0.080
0.063 0.123 0.183
0.880 0.761 0.132
0.120 0.239 0.868
0.618 0.234 0.392
0.382 0.766 0.608
```

Output
Energy of formation ... -0.034 eV/atom
Total energy ... -2.509 eV/atom

---

DFT (PBE) results for an optimized crystal structure of Mg2BiPb2.

Structure (POSCAR):
```
Mg2BiPb2
1.0
4.314 0.000 0.000
0.000 4.314 0.000
2.157 2.157 8.022
Mg Pb Bi
2 2 1
direct
0.250 0.750 0.500
0.750 0.250 0.500
0.603 0.603 0.795
0.397 0.397 0.205
0.000 0.000 0.000
```

Output
Energy of formation ... 0.123 eV/atom
Total energy ... -2.774 eV/atom

---

DFT (PBE) results for an optimized crystal structure of Mg12Bi2Pb5.

Structure (POSCAR):
```
Mg12Bi2Pb5
1.0
8.956 0.000 0.000
-4.478 8.159 3.077
0.000 1.280 7.477
Mg Pb Bi
12 5 2
direct
0.913 0.825 0.980
0.462 0.924 0.363
0.168 0.740 0.809
0.538 0.076 0.637
0.666 0.712 0.428
0.334 0.288 0.572
0.046 0.712 0.428
0.087 0.175 0.020
0.428 0.260 0.191
0.832 0.260 0.191
0.954 0.288 0.572
0.572 0.740 0.809
0.269 0.538 0.639
0.767 0.535 0.846
0.731 0.462 0.361
0.233 0.465 0.154
0.000 0.000 0.500
0.286 0.000 0.000
0.714 0.000 0.000
```

Output
Energy of formation ... -0.035 eV/atom
Total energy ... -2.426 eV/atom

---

DFT (PBE) results for an optimized crystal structure of MgBi2Pd7Pb2.

Structure (POSCAR):
```
MgBi2Pd7Pb2
1.0
4.006 0.017 0.113
0.022 4.006 0.113
2.325 2.322 15.650
Pd Pb Bi Mg
7 2 2 1
direct
0.914 0.414 0.127
0.500 0.500 0.000
0.228 0.228 0.437
0.086 0.586 0.873
0.586 0.086 0.873
0.772 0.772 0.563
0.414 0.914 0.127
0.670 0.670 0.748
0.330 0.330 0.252
0.256 0.256 0.608
0.744 0.744 0.392
0.000 0.000 0.000
```

Output
Energy of formation ... -0.264 eV/atom
Total energy ... -4.691 eV/atom

---

DFT (PBE) results for an optimized crystal structure of Mg5Bi2Pd2Pb.

Structure (POSCAR):
```
Mg5Bi2Pd2Pb
1.0
3.410 0.000 0.000
0.000 11.608 0.000
0.000 0.000 11.608
Pd Mg Pb Bi
4 10 2 4
direct
0.000 0.873 0.373
0.000 0.627 0.873
0.000 0.127 0.627
0.000 0.373 0.127
0.500 0.547 0.717
0.500 0.217 0.047
0.500 0.783 0.953
0.500 0.283 0.547
0.500 0.047 0.783
0.500 0.453 0.283
0.500 0.500 0.000
0.500 0.953 0.217
0.500 0.000 0.500
0.500 0.717 0.453
0.000 0.000 0.000
0.000 0.500 0.500
0.000 0.184 0.316
0.000 0.684 0.184
0.000 0.816 0.684
0.000 0.316 0.816
```

Output
Energy of formation ... -0.294 eV/atom
Total energy ... -3.277 eV/atom

---

DFT (PBE) results for an optimized crystal structure of PuMgBiPb.

Structure (POSCAR):
```
PuMgBiPb
1.0
5.410 0.000 0.000
2.705 4.685 0.000
2.705 1.562 4.417
Pb Pu Bi Mg
1 1 1 1
direct
0.750 0.750 0.750
0.500 0.500 0.500
0.250 0.250 0.250
0.000 0.000 0.000
```

Output
Energy of formation ... -0.102 eV/atom
Total energy ... -5.981 eV/atom

---

DFT (PBE) results for an optimized crystal structure of PuMgBiPb.

Structure (POSCAR):
```
PuMgBiPb
1.0
4.426 0.000 0.000
0.000 4.871 0.000
0.000 0.000 5.062
Pu Bi Mg Pb
1 1 1 1
direct
0.500 0.000 0.500
0.000 0.500 0.500
0.500 0.500 0.000
0.000 0.000 0.000
```

Output
Energy of formation ... -0.237 eV/atom
Total energy ... -6.116 eV/atom

---

DFT (PBE) results for an optimized crystal structure of Rb2MgBiPb.

Structure (POSCAR):
```
Rb2MgBiPb
1.0
7.127 0.000 0.000
0.000 5.993 0.000
0.000 0.000 7.127
Rb Mg Pb Bi
2 1 1 1
direct
0.000 0.000 0.500
0.500 0.000 0.000
0.500 0.500 0.500
0.000 0.000 0.000
0.000 0.500 0.000
```

Output
Energy of formation ... 0.234 eV/atom
Total energy ... -1.989 eV/atom

---

DFT (PBE) results for an optimized crystal structure of RbMgBi2Pb.

Structure (POSCAR):
```
RbMgBi2Pb
1.0
5.143 0.000 0.000
0.000 5.143 0.000
-2.572 -2.572 7.286
Mg Rb Bi Pb
1 1 2 1
direct
0.250 0.750 0.500
0.000 0.000 0.000
0.373 0.373 0.746
0.627 0.627 0.254
0.750 0.250 0.500
```

Output
Energy of formation ... -0.217 eV/atom
Total energy ... -3.023 eV/atom

---

DFT (PBE) results for an optimized crystal structure of MgBi2RuPb.

Structure (POSCAR):
```
MgBi2RuPb
1.0
5.458 0.000 0.000
0.000 4.778 0.000
0.000 0.000 5.458
Pb Mg Ru Bi
1 1 1 2
direct
0.500 0.500 0.500
0.000 0.000 0.000
0.000 0.500 0.000
0.500 0.000 0.000
0.000 0.000 0.500
```

Output
Energy of formation ... 0.842 eV/atom
Total energy ... -3.627 eV/atom

---

DFT (PBE) results for an optimized crystal structure of MgBi2PbSe.

Structure (POSCAR):
```
MgBi2PbSe
1.0
5.682 0.000 0.000
0.000 4.912 0.000
0.000 0.000 5.682
Mg Bi Se Pb
1 2 1 1
direct
0.000 0.000 0.000
0.000 0.000 0.500
0.500 0.000 0.000
0.000 0.500 0.000
0.500 0.500 0.500
```

Output
Formation energy without anion corrections ... 215 meV/atom
Total energy ... -3.095 eV/atom

---

DFT (PBE) results for an optimized crystal structure of SmMgBiPb.

Structure (POSCAR):
```
SmMgBiPb
1.0
-0.355 -0.071 -5.449
-4.882 -0.403 -2.413
-2.096 4.287 -2.656
Sm Bi Mg Pb
1 1 1 1
direct
0.500 0.500 0.500
0.250 0.250 0.250
0.000 0.000 0.000
0.750 0.750 0.750
```

Output
Energy of formation ... -0.266 eV/atom
Total energy ... -3.742 eV/atom

---

DFT (PBE) results for an optimized crystal structure of MgSnBiPb.

Structure (POSCAR):
```
MgSnBiPb
1.0
-2.772 1.759 4.383
-3.533 -3.336 2.525
1.180 -1.986 4.964
Bi Sn Pb Mg
1 1 1 1
direct
0.000 0.000 0.000
0.500 0.500 0.500
0.250 0.250 0.250
0.750 0.750 0.750
```

Output
Energy of formation ... 0.035 eV/atom
Total energy ... -3.261 eV/atom

---

DFT (PBE) results for an optimized crystal structure of MgSnBiPb.

Structure (POSCAR):
```
MgSnBiPb
1.0
-3.345 -0.479 0.317
0.468 -1.181 3.148
-0.964 9.072 3.546
Pb Mg Sn Bi
1 1 1 1
direct
0.500 0.500 0.805
0.500 0.500 0.333
0.000 0.000 0.544
0.000 0.000 0.102
```

Output
Energy of formation ... -0.036 eV/atom
Total energy ... -3.333 eV/atom

---

DFT (PBE) results for an optimized crystal structure of SrMgBiPb2.

Structure (POSCAR):
```
SrMgBiPb2
1.0
-1.676 -3.388 4.643
4.893 -3.959 -1.123
3.470 3.259 3.630
Sr Mg Bi Pb
1 1 1 2
direct
0.000 0.500 0.000
0.000 0.000 0.000
0.500 0.500 0.500
0.500 0.000 0.000
0.000 0.000 0.500
```

Output
Energy of formation ... 0.298 eV/atom
Total energy ... -2.616 eV/atom

---

DFT (PBE) results for an optimized crystal structure of MgTcBi2Pb.

Structure (POSCAR):
```
MgTcBi2Pb
1.0
-1.138 3.362 4.825
-3.653 -4.256 2.103
3.958 -2.184 2.455
Bi Mg Tc Pb
2 1 1 1
direct
0.500 0.000 0.000
0.000 0.500 0.000
0.000 0.000 0.500
0.500 0.500 0.500
0.000 0.000 0.000
```

Output
Energy of formation ... 1.431 eV/atom
Total energy ... -3.255 eV/atom